(1)
Density functional theory data (GGA-PBE) for crystalline PuNp3Tl3Se8 at its relaxed geometry.

Lattice parameters (Å, degrees): 8.383 8.383 9.138 117.30 90.00 120.00
Element x y z (fractional)
Se  0.270  0.035  0.300
Np  0.500  0.000  0.500
Se  0.266  0.531  0.297
Se  0.734  0.469  0.703
Np  0.500  0.500  0.500
Se  0.235  0.471  0.700
Tl  0.000  0.000  0.000
Tl  0.500  0.500  0.000
Se  0.765  0.035  0.300
Tl  0.000  0.500  0.000
Np  0.000  0.500  0.500
Pu  0.000  0.000  0.500
Se  0.765  0.529  0.300
Se  0.730  0.965  0.700
Se  0.235  0.965  0.700

Output
- DOS(E_F) (states/eV/f.u.) = 43.45
- E_form (uncorrected) (eV/atom) = -1.011
- SG = R-3m, No. 166
- raw total energy (eV/atom) = -6.887

=====

(2)
Density functional theory data (GGA-PBE) for crystalline Mg2CrCd at its relaxed geometry.

Lattice parameters (Å, degrees): 4.314 4.314 4.272 90.00 90.00 90.00
Element x y z (fractional)
Mg  0.500  0.500  0.000
Cr  0.000  0.500  0.500
Cd  0.500  0.000  0.500
Mg  0.000  0.000  0.000

Output
- DOS(E_F) (states/eV/f.u.) = 2.23
- SG = P4/mmm, No. 123
- raw total energy (eV/atom) = -3.237

=====

(3)
Density functional theory data (GGA-PBE) for crystalline BaTcBr2 at its relaxed geometry.

Lattice parameters (Å, degrees): 5.945 5.945 5.945 140.48 121.45 72.95
Element x y z (fractional)
Br  0.922  0.922  0.000
Br  0.578  0.578  0.000
Ba  0.250  0.750  0.500
Tc  0.750  0.250  0.500

Output
- excess energy over the best structure of this formula in the dataset (eV/f.u.) = 0.000
- DOS(E_F) (states/eV/f.u.) = 2.83
- E_form (uncorrected) (eV/atom) = -0.368
- SG = Immm, No. 71
- raw total energy (eV/atom) = -4.277

=====

(4)
Density functional theory data (GGA-PBE) for crystalline Pm2Er3TmBi6 at its relaxed geometry.

Lattice parameters (Å, degrees): 4.491 8.978 10.035 102.87 102.93 90.00
Element x y z (fractional)
Bi  0.334  0.924  0.669
Bi  0.335  0.412  0.670
Er  0.500  0.500  0.000
Bi  0.666  0.076  0.331
Pm  0.834  0.667  0.668
Bi  0.003  0.752  0.006
Pm  0.166  0.333  0.332
Er  0.832  0.166  0.663
Er  0.168  0.834  0.337
Bi  0.997  0.248  0.994
Tm  0.500  0.000  0.000
Bi  0.665  0.588  0.330

Output
- DOS(E_F) (states/eV/f.u.) = 2.01
- SG = C2/m, No. 12
- raw total energy (eV/atom) = -5.092

=====

(5)
Density functional theory data (GGA-PBE) for crystalline MgRhPb4 at its relaxed geometry.

Lattice parameters (Å, degrees): 6.270 6.270 6.270 60.00 60.00 60.00
Element x y z (fractional)
Pb  0.376  0.873  0.376
Rh  0.750  0.750  0.750
Mg  0.000  0.000  0.000
Pb  0.376  0.376  0.873
Pb  0.873  0.376  0.376
Pb  0.376  0.376  0.376

Output
- DOS(E_F) (states/eV/f.u.) = 4.17
- SG = F-43m, No. 216
- raw total energy (eV/atom) = -3.433

=====

(6)
Density functional theory data (GGA-PBE) for crystalline AlPIrCl2 at its relaxed geometry.

Lattice parameters (Å, degrees): 4.390 4.390 5.224 90.00 90.00 90.00
Element x y z (fractional)
Ir  0.500  0.500  0.500
Cl  0.000  0.500  0.000
P  0.000  0.000  0.500
Cl  0.500  0.000  0.000
Al  0.000  0.000  0.000

Output
- excess energy over the best structure of this formula in the dataset (eV/f.u.) = 1.987
- DOS(E_F) (states/eV/f.u.) = 7.49
- E_form (uncorrected) (eV/atom) = 0.612
- SG = P4/mmm, No. 123
- raw total energy (eV/atom) = -3.729

=====

(7)
Density functional theory data (GGA-PBE) for crystalline Dy2CuBr at its relaxed geometry.

Lattice parameters (Å, degrees): 4.001 4.001 7.697 74.94 74.94 60.00
Element x y z (fractional)
Dy  0.264  0.264  0.209
Dy  0.736  0.736  0.791
Br  0.500  0.500  0.500
Cu  0.000  0.000  0.000

Output
- excess energy over the best structure of this formula in the dataset (eV/f.u.) = 0.000
- DOS(E_F) (states/eV/f.u.) = 2.88
- E_form (uncorrected) (eV/atom) = -0.623
- SG = R-3m, No. 166
- raw total energy (eV/atom) = -4.366

=====

(8)
Density functional theory data (GGA-PBE) for crystalline Er2PuInC at its relaxed geometry.

Lattice parameters (Å, degrees): 4.721 4.923 4.923 90.00 90.00 90.00
Element x y z (fractional)
Pu  0.500  0.000  0.000
C  0.000  0.000  0.000
Er  0.000  0.500  0.000
Er  0.000  0.000  0.500
In  0.500  0.500  0.500

Output
- DOS(E_F) (states/eV/f.u.) = 9.55
- SG = P4/mmm, No. 123
- raw total energy (eV/atom) = -7.424